No. 1
{
  "formula": "CrGa2Os",
  "functional": "PBE-GGA",
  "state": "relaxed",
  "lattice_angstrom": [[0.000, 3.048, 3.048], [3.048, 0.000, 3.048], [3.048, 3.048, 0.000]],
  "species": ["Cr", "Ga", "Ga", "Os"],
  "fractional_positions": [[0.000, 0.000, 0.000], [0.250, 0.250, 0.250], [0.750, 0.750, 0.750], [0.500, 0.500, 0.500]],
  "space_group": "No. 225"
}

---

No. 2
{
  "formula": "CrGaOs3",
  "functional": "PBE-GGA",
  "state": "relaxed",
  "lattice_angstrom": [[4.446, 0.000, 0.000], [0.000, 4.446, 0.000], [0.000, 0.000, 4.446]],
  "species": ["Cr", "Ga", "Os", "Os", "Os"],
  "fractional_positions": [[0.000, 0.000, 0.000], [0.500, 0.500, 0.500], [0.000, 0.000, 0.500], [0.000, 0.500, 0.000], [0.500, 0.000, 0.000]],
  "space_group": "No. 221"
}

---

Raw total energy for the records above, in order: -27.0 -38.0 eV for the cell shown
Calculated volume for the records above, in order: 56.6 87.9 Å³/cell
Energy above the most stable polymorph in this dataset for the records above, in order: 0.00 0.00 eV/f.u.